P | Pm2PrY8 after structural relaxation. Source: Alexandria, functional GGA-PBE.

Properties
N(E_F): 1.609 states/eV/atom

a = 9.089 Å, b = 16.110 Å, c = 5.942 Å
α = 90.00°, β = 121.71°, γ = 90.00°
Space group C2/m (No. 12)
Unique sites:
Pm 0.000 0.194 0.000
Pr 0.000 0.500 0.500
Y 0.000 0.290 0.500
Y 0.076 0.000 0.295
Y 0.214 0.384 0.167

---

Q | Pm2PrY8 after structural relaxation. Source: Alexandria, functional GGA-PBE.

Properties
N(E_F): 1.720 states/eV/atom

a = 16.705 Å, b = 6.698 Å, c = 6.722 Å
α = 90.00°, β = 99.09°, γ = 90.00°
Space group C2/m (No. 12)
Unique sites:
Pm 0.245 0.000 0.309
Pr 0.000 0.000 0.000
Y 0.088 0.500 0.903
Y 0.089 0.262 0.406
Y 0.205 0.000 0.802

---

Of them, the most stable is P and the least stable is Q.

---

P | Pm6Pr4Y after structural relaxation. Source: Alexandria, functional GGA-PBE.

Properties
N(E_F): 1.507 states/eV/atom

a = 6.823 Å, b = 6.823 Å, c = 17.032 Å
α = 90.00°, β = 90.00°, γ = 90.00°
Space group I-42m (No. 121)
Unique sites:
Pm 0.000 0.500 0.000
Pm 0.173 0.173 0.380
Pr 0.189 0.189 0.178
Y 0.000 0.000 0.000

---

Q | Pm6Pr4Y after structural relaxation. Source: Alexandria, functional GGA-PBE.

Properties
N(E_F): 1.226 states/eV/atom

a = 7.721 Å, b = 7.721 Å, c = 13.607 Å
α = 90.00°, β = 90.00°, γ = 90.00°
Space group I-42m (No. 121)
Unique sites:
Pm 0.000 0.500 0.000
Pm 0.229 0.229 0.187
Pr 0.174 0.174 0.421
Y 0.000 0.000 0.000

---

Of them, the most stable is P and the least stable is Q.

---

P | PmPr7Y4 after structural relaxation. Source: Alexandria, functional GGA-PBE.

Properties
N(E_F): 2.030 states/eV/atom

a = 6.122 Å, b = 7.308 Å, c = 10.151 Å
α = 111.04°, β = 90.54°, γ = 90.06°
Space group P-1 (No. 2)
Unique sites:
Pm 0.000 0.000 0.000
Pr 0.249 0.465 0.931
Pr 0.250 0.811 0.624
Pr 0.253 0.291 0.583
Pr 0.500 0.000 0.000
Y 0.246 0.867 0.275
Y 0.247 0.408 0.275

---

Q | PmPr7Y4 after structural relaxation. Source: Alexandria, functional GGA-PBE.

Properties
N(E_F): 1.665 states/eV/atom

a = 16.399 Å, b = 6.084 Å, c = 9.544 Å
α = 90.00°, β = 116.62°, γ = 90.00°
Space group C2/m (No. 12)
Unique sites:
Pm 0.000 0.000 0.000
Pr 0.000 0.500 0.000
Pr 0.085 0.000 0.449
Pr 0.211 0.000 0.235
Pr 0.213 0.000 0.884
Y 0.072 0.500 0.699
Y 0.170 0.500 0.385

---

Of them, the most stable is P and the least stable is Q.